Material: Ba2CdGa12Pt3
Method: DFT, GGA-PBE
State: relaxed

Theoretical density in g/cm3: 6.37
Spin magnetization in μB per atom: 0.00
Calculated total energy in eV per atom: -3.48
Calculated volume in Å³/cell: 472
E_form in eV per atom: -0.190

Cell: 8.1295 8.1295 8.1295 Å, 71.90 71.90 71.90°
Element x y z (fractional)
Ba: 0.1073 0.1073 0.1073
Ba: 0.8927 0.8927 0.8927
Cd: 0.5000 0.5000 0.5000
Ga: 0.1513 0.6338 0.6338
Ga: 0.2258 0.2258 0.6120
Ga: 0.2258 0.6120 0.2258
Ga: 0.3662 0.3662 0.8487
Ga: 0.3662 0.8487 0.3662
Ga: 0.3880 0.7742 0.7742
Ga: 0.6120 0.2258 0.2258
Ga: 0.6338 0.1513 0.6338
Ga: 0.6338 0.6338 0.1513
Ga: 0.7742 0.3880 0.7742
Ga: 0.7742 0.7742 0.3880
Ga: 0.8487 0.3662 0.3662
Pt: 0.0000 0.5000 0.5000
Pt: 0.5000 0.0000 0.5000
Pt: 0.5000 0.5000 0.0000

***

Material: BaCdGaPt3
Method: DFT, GGA-PBE
State: relaxed

Theoretical density in g/cm3: 10.12
Spin magnetization in μB per atom: 0.00
Calculated total energy in eV per atom: -4.45
Calculated volume in Å³/cell: 297
E_form in eV per atom: -0.451

Cell: 7.6325 7.6325 6.0176 Å, 90.00 90.00 122.16°
Element x y z (fractional)
Ba: 0.2227 0.7773 0.7500
Ba: 0.7773 0.2227 0.2500
Cd: 0.4896 0.5104 0.2500
Cd: 0.5104 0.4896 0.7500
Ga: 0.1059 0.8941 0.2500
Ga: 0.8941 0.1059 0.7500
Pt: 0.1935 0.1935 0.0000
Pt: 0.1935 0.1935 0.5000
Pt: 0.2849 0.7151 0.2500
Pt: 0.7151 0.2849 0.7500
Pt: 0.8065 0.8065 0.0000
Pt: 0.8065 0.8065 0.5000

***

Material: BaCdGa2Pt
Method: DFT, GGA-PBE
State: relaxed

Theoretical density in g/cm3: 7.53
Spin magnetization in μB per atom: 0.00
Calculated total energy in eV per atom: -3.43
Calculated volume in Å³/cell: 129
E_form in eV per atom: -0.447

Cell: 4.9328 4.9328 5.2949 Å, 90.00 90.00 90.00°
Element x y z (fractional)
Ba: 0.0000 0.0000 0.0000
Cd: 0.5000 0.5000 0.0000
Ga: 0.0000 0.5000 0.5000
Ga: 0.5000 0.0000 0.5000
Pt: 0.5000 0.5000 0.5000

***

Material: BaCd2GaPt
Method: DFT, GGA-PBE
State: relaxed

Theoretical density in g/cm3: 7.56
Spin magnetization in μB per atom: 0.00
Calculated total energy in eV per atom: -2.99
Calculated volume in Å³/cell: 138
E_form in eV per atom: -0.428

Cell: 5.3105 5.3105 4.8831 Å, 90.00 90.00 90.00°
Element x y z (fractional)
Ba: 0.0000 0.0000 0.0000
Cd: 0.0000 0.5000 0.5000
Cd: 0.5000 0.0000 0.5000
Ga: 0.5000 0.5000 0.0000
Pt: 0.5000 0.5000 0.5000

***

Material: Ba2CdGaPt
Method: DFT, GGA-PBE
State: relaxed

Theoretical density in g/cm3: 5.80
Spin magnetization in μB per atom: 0.00
Calculated total energy in eV per atom: -3.25
Calculated volume in Å³/cell: 186
E_form in eV per atom: -0.489

Cell: 6.2023 6.2023 4.8477 Å, 90.00 90.00 90.00°
Element x y z (fractional)
Ba: 0.0000 0.5000 0.0000
Ba: 0.5000 0.0000 0.0000
Cd: 0.0000 0.0000 0.5000
Ga: 0.5000 0.5000 0.5000
Pt: 0.5000 0.5000 0.0000

***

Material: Ba2CdGaRh
Method: DFT, GGA-PBE
State: relaxed

Theoretical density in g/cm3: 4.62
Spin magnetization in μB per atom: 0.00
Calculated total energy in eV per atom: -2.71
Calculated volume in Å³/cell: 201
Distance to the lowest polymorph of the same formula in eV per atom: 0.625
E_form in eV per atom: 0.322

Cell: 6.3705 6.3705 4.9569 Å, 90.00 90.00 90.00°
Element x y z (fractional)
Ba: 0.0000 0.5000 0.0000
Ba: 0.5000 0.0000 0.0000
Cd: 0.0000 0.0000 0.0000
Ga: 0.5000 0.5000 0.5000
Rh: 0.0000 0.0000 0.5000

***

Material: Ba2CdGaRh
Method: DFT, GGA-PBE
State: relaxed

Theoretical density in g/cm3: 5.22
Spin magnetization in μB per atom: 0.00
Calculated total energy in eV per atom: -3.33
Calculated volume in Å³/cell: 178
Distance to the lowest polymorph of the same formula in eV per atom: 0.000
E_form in eV per atom: -0.304

Cell: 6.0509 6.0509 4.8613 Å, 90.00 90.00 90.00°
Element x y z (fractional)
Ba: 0.0000 0.5000 0.0000
Ba: 0.5000 0.0000 0.0000
Cd: 0.0000 0.0000 0.5000
Ga: 0.5000 0.5000 0.5000
Rh: 0.5000 0.5000 0.0000

***

Material: Ba2CdGaRu
Method: DFT, GGA-PBE
State: relaxed

Theoretical density in g/cm3: 5.12
Spin magnetization in μB per atom: 0.00
Calculated total energy in eV per atom: -3.44
Calculated volume in Å³/cell: 181
E_form in eV per atom: -0.023

Cell: 6.0617 6.0617 4.9264 Å, 90.00 90.00 90.00°
Element x y z (fractional)
Ba: 0.0000 0.5000 0.0000
Ba: 0.5000 0.0000 0.0000
Cd: 0.0000 0.0000 0.5000
Ga: 0.5000 0.5000 0.5000
Ru: 0.5000 0.5000 0.0000

***

Material: BaCdGa2Ru
Method: DFT, GGA-PBE
State: relaxed

Theoretical density in g/cm3: 6.48
Spin magnetization in μB per atom: 0.00
Calculated total energy in eV per atom: -3.99
Calculated volume in Å³/cell: 126
E_form in eV per atom: -0.360

Cell: 4.8761 4.8761 5.2859 Å, 90.00 90.00 90.00°
Element x y z (fractional)
Ba: 0.0000 0.0000 0.0000
Cd: 0.5000 0.5000 0.0000
Ga: 0.0000 0.5000 0.5000
Ga: 0.5000 0.0000 0.5000
Ru: 0.5000 0.5000 0.5000

***

Material: Ba2CdGaS5
Method: DFT, GGA-PBE
State: relaxed

Theoretical density in g/cm3: 4.23
Spin magnetization in μB per atom: 0.11
Calculated total energy in eV per atom: -4.32
Calculated volume in Å³/cell: 484
Formation energy from raw total energies in eV/atom: -1.165

Cell: 10.0641 10.0641 12.0125 Å, 90.00 90.00 156.54°
Element x y z (fractional)
Ba: 0.1079 0.8921 0.5000
Ba: 0.1214 0.8786 0.8818
Ba: 0.8786 0.1214 0.3818
Ba: 0.8921 0.1079 0.0000
Cd: 0.2292 0.7708 0.2234
Cd: 0.7708 0.2292 0.7234
Ga: 0.4418 0.5582 0.6544
Ga: 0.5582 0.4418 0.1544
S: 0.0324 0.9676 0.2489
S: 0.2912 0.7088 0.8660
S: 0.3266 0.6734 0.6086
S: 0.3552 0.6448 0.1901
S: 0.4862 0.5138 0.4807
S: 0.5138 0.4862 0.9807
S: 0.6448 0.3552 0.6901
S: 0.6734 0.3266 0.1086
S: 0.7088 0.2912 0.3660
S: 0.9676 0.0324 0.7489

***

Look up the spin magnetization of the fourth one. 0.00 μB per atom

***

Among the records above, which one has the highest spin magnetization? Ba2CdGaS5

***

What is the formula in the third record? BaCdGa2Pt

***

What is the formula in the sixth record? Ba2CdGaRh